DFT (PBE-GGA) results for an optimized crystal structure of YZnHgPd2.

- VASP energy (eV per atom) = -3.8072
- D(E_F) (states/eV/cell) = 3.2
- formation energy from the elements (kJ/mol of formula units) = -59
- total magnetic moment (μB/atom) = 0.00
- crystal system = tetragonal

POSCAR file:
```
YZnHgPd2
1.0
4.758 0.000 0.000
0.000 4.758 0.000
0.000 0.000 4.819
Y Zn Hg Pd
1 1 1 2
direct
0.000 0.000 0.000 Y
0.500 0.500 0.500 Zn
0.500 0.500 0.000 Hg
0.000 0.500 0.500 Pd
0.500 0.000 0.500 Pd
```